# 1
Density functional theory data (PBE) for crystalline CaMnOs2 at its relaxed geometry.

Cell and atoms, written as extended XYZ:
```
4
Lattice="2.9777 0.0000 0.0000 0.0000 4.6458 0.0000 0.0000 0.0000 4.6640" Properties=species:S:1:pos:R:3 pbc="T T T"
Os 0.0000 0.0000 0.0000
Os 1.4889 2.3229 0.0000
Mn 0.0000 2.3229 2.3320
Ca 1.4889 0.0000 2.3320
```

Values from the calculation:
The value obtained for the formation energy is 2.4 eV per formula unit. The total energy is -7.80 eV per atom. Its total magnetization is 3.39 μB per formula unit. The value obtained for the density of states at the Fermi level is 0.911 states/eV per atom. The space-group type is No. 47.

# 2
Density functional theory data (PBE) for crystalline CaMn3Os at its relaxed geometry.

Cell and atoms, written as extended XYZ:
```
5
Lattice="4.1684 0.0000 0.0000 0.0000 4.1684 0.0000 0.0000 0.0000 4.1684" Properties=species:S:1:pos:R:3 pbc="T T T"
Mn 2.0842 0.0000 0.0000
Mn 0.0000 2.0842 0.0000
Mn 0.0000 0.0000 2.0842
Os 2.0842 2.0842 2.0842
Ca 0.0000 0.0000 0.0000
```

Values from the calculation:
The value obtained for the formation energy is 13.2 eV per formula unit. The total energy is -5.52 eV per atom. Its total magnetization is 0.00 μB per formula unit. The value obtained for the density of states at the Fermi level is 1.985 states/eV per atom. The space-group type is No. 221.

# 3
Density functional theory data (PBE) for crystalline CaMnOs2 at its relaxed geometry.

Cell and atoms, written as extended XYZ:
```
4
Lattice="0.0000 3.1599 3.1599 3.1599 0.0000 3.1599 3.1599 3.1599 0.0000" Properties=species:S:1:pos:R:3 pbc="T T T"
Os 1.5800 1.5800 1.5800
Os 4.7399 4.7399 4.7399
Ca 0.0000 0.0000 0.0000
Mn 3.1599 3.1599 3.1599
```

Values from the calculation:
The value obtained for the formation energy is 3.0 eV per formula unit. The total energy is -7.65 eV per atom. Its total magnetization is 1.78 μB per formula unit. The value obtained for the density of states at the Fermi level is 1.409 states/eV per atom. The space-group type is No. 225.

# 4
Density functional theory data (PBE) for crystalline CaMn3Os at its relaxed geometry.

Cell and atoms, written as extended XYZ:
```
5
Lattice="-3.9410 1.6567 2.2025 -1.5049 -4.5132 0.7022 2.3089 -0.1138 4.2170" Properties=species:S:1:pos:R:3 pbc="T T T"
Os 0.0000 0.0000 0.0000
Mn 1.1544 -0.0569 2.1085
Mn -0.7524 -2.2566 0.3511
Mn -1.9705 0.8284 1.1012
Ca -1.5685 -1.4851 3.5608
```

Values from the calculation:
The value obtained for the formation energy is 3.8 eV per formula unit. The total energy is -7.38 eV per atom. Its total magnetization is 11.33 μB per formula unit. The value obtained for the density of states at the Fermi level is 1.651 states/eV per atom. The space-group type is No. 221.